1.
# FeHgP2 (GGA-PBE, optimized geometry)
data_FeHgP2
_chemical_formula_sum 'Fe1 Hg1 P2'
_space_group_name_H-M_alt 'P 4/m m m'
_space_group_IT_number 123
_space_group_name_Hall '-P 4 2'
_cell_length_a 4.314
_cell_length_b 4.314
_cell_length_c 3.492
_cell_angle_alpha 90.00
_cell_angle_beta 90.00
_cell_angle_gamma 90.00
loop_
_atom_site_label
_atom_site_fract_x
_atom_site_fract_y
_atom_site_fract_z
Fe1 0.000 0.000 0.000
Hg1 0.500 0.500 0.000
P1 0.000 0.500 0.500
# Density in Mg/m³: 8.1
# DFT formation energy in meV/atom: 699
# VASP energy in eV/cell: -16.8
# Size of the total moment in μB per formula unit: 2.47

2.
# Fe2Hg2P (GGA-PBE, optimized geometry)
data_Fe2Hg2P
_chemical_formula_sum 'Fe4 Hg4 P2'
_space_group_name_H-M_alt 'P 4/m b m'
_space_group_IT_number 127
_space_group_name_Hall '-P 4 2ab'
_cell_length_a 5.859
_cell_length_b 5.859
_cell_length_c 4.652
_cell_angle_alpha 90.00
_cell_angle_beta 90.00
_cell_angle_gamma 90.00
loop_
_atom_site_label
_atom_site_fract_x
_atom_site_fract_y
_atom_site_fract_z
Fe1 0.154 0.346 0.000
Hg1 0.170 0.670 0.500
P1 0.000 0.000 0.000
# Density in Mg/m³: 11.3
# DFT formation energy in meV/atom: 217
# VASP energy in eV/cell: -43.7
# Size of the total moment in μB per formula unit: 2.96

3.
# FeHgP2 (GGA-PBE, optimized geometry)
data_FeHgP2
_chemical_formula_sum 'Fe1 Hg1 P2'
_space_group_name_H-M_alt 'P 1 m 1'
_space_group_IT_number 6
_cell_length_a 3.716
_cell_length_b 3.233
_cell_length_c 6.083
_cell_angle_alpha 90.00
_cell_angle_beta 107.02
_cell_angle_gamma 90.00
loop_
_space_group_symop_operation_xyz
'x,y,z'
'x,-y,z'
loop_
_atom_site_label
_atom_site_fract_x
_atom_site_fract_y
_atom_site_fract_z
Fe1 0.000 0.000 0.000
Hg1 0.368 0.500 0.729
P1 0.000 0.500 0.273
P2 0.580 0.000 0.210
# Density in Mg/m³: 7.6
# DFT formation energy in meV/atom: 190
# VASP energy in eV/cell: -18.8
# Size of the total moment in μB per formula unit: 1.02

4.
# FeHg2P (GGA-PBE, optimized geometry)
data_FeHg2P
_chemical_formula_sum 'Fe2 Hg4 P2'
_space_group_name_H-M_alt 'C m m m'
_space_group_IT_number 65
_space_group_name_Hall '-C 2 2'
_cell_length_a 5.365
_cell_length_b 7.202
_cell_length_c 3.969
_cell_angle_alpha 90.00
_cell_angle_beta 90.00
_cell_angle_gamma 90.00
loop_
_atom_site_label
_atom_site_fract_x
_atom_site_fract_y
_atom_site_fract_z
Fe1 0.000 0.000 0.000
Hg1 0.250 0.250 0.500
P1 0.000 0.500 0.000
# Density in Mg/m³: 10.6
# DFT formation energy in meV/atom: 616
# VASP energy in eV/cell: -24.0
# Size of the total moment in μB per formula unit: 3.10

5.
# FeHgP2 (GGA-PBE, optimized geometry)
data_FeHgP2
_chemical_formula_sum 'Fe4 Hg4 P8'
_space_group_name_H-M_alt 'I -4 2 d'
_space_group_IT_number 122
_space_group_name_Hall 'I -4 2bw'
_cell_length_a 5.520
_cell_length_b 5.520
_cell_length_c 10.603
_cell_angle_alpha 90.00
_cell_angle_beta 90.00
_cell_angle_gamma 90.00
loop_
_atom_site_label
_atom_site_fract_x
_atom_site_fract_y
_atom_site_fract_z
Fe1 0.000 0.000 0.000
Hg1 0.000 0.000 0.500
P1 0.166 0.250 0.125
# Density in Mg/m³: 6.5
# DFT formation energy in meV/atom: 126
# VASP energy in eV/cell: -76.3
# Size of the total moment in μB per formula unit: 0.00

6.
# FeHg2P (GGA-PBE, optimized geometry)
data_FeHg2P
_chemical_formula_sum 'Fe2 Hg4 P2'
_space_group_name_H-M_alt 'I -4 m 2'
_space_group_IT_number 119
_space_group_name_Hall 'I -4 -2'
_cell_length_a 4.108
_cell_length_b 4.108
_cell_length_c 8.720
_cell_angle_alpha 90.00
_cell_angle_beta 90.00
_cell_angle_gamma 90.00
loop_
_atom_site_label
_atom_site_fract_x
_atom_site_fract_y
_atom_site_fract_z
Fe1 0.000 0.000 0.000
Hg1 0.000 0.000 0.500
Hg2 0.000 0.500 0.750
P1 0.000 0.500 0.250
# Density in Mg/m³: 11.0
# DFT formation energy in meV/atom: 602
# VASP energy in eV/cell: -24.1
# Size of the total moment in μB per formula unit: 2.88

7.
# FeHgP2 (GGA-PBE, optimized geometry)
data_FeHgP2
_chemical_formula_sum 'Fe4 Hg4 P8'
_space_group_name_H-M_alt 'F m m m'
_space_group_IT_number 69
_space_group_name_Hall '-F 2 2'
_cell_length_a 5.430
_cell_length_b 7.113
_cell_length_c 7.361
_cell_angle_alpha 90.00
_cell_angle_beta 90.00
_cell_angle_gamma 90.00
loop_
_atom_site_label
_atom_site_fract_x
_atom_site_fract_y
_atom_site_fract_z
Fe1 0.000 0.000 0.000
Hg1 0.000 0.000 0.500
P1 0.000 0.250 0.250
# Density in Mg/m³: 7.4
# DFT formation energy in meV/atom: 596
# VASP energy in eV/cell: -68.8
# Size of the total moment in μB per formula unit: 2.94

8.
# Fe2HgPPb (GGA-PBE, optimized geometry)
data_Fe2HgPPb
_chemical_formula_sum 'Fe2 Hg1 P1 Pb1'
_space_group_name_H-M_alt 'P 4/m m m'
_space_group_IT_number 123
_space_group_name_Hall '-P 4 2'
_cell_length_a 5.061
_cell_length_b 5.061
_cell_length_c 5.264
_cell_angle_alpha 90.00
_cell_angle_beta 90.00
_cell_angle_gamma 90.00
loop_
_atom_site_label
_atom_site_fract_x
_atom_site_fract_y
_atom_site_fract_z
Fe1 0.000 0.500 0.000
Hg1 0.000 0.000 0.500
P1 0.500 0.500 0.500
Pb1 0.500 0.500 0.000
# Density in Mg/m³: 6.8
# DFT formation energy in meV/atom: 1486
# VASP energy in eV/cell: -18.9
# Size of the total moment in μB per formula unit: 6.13

Q: Number 5 is which compound?
A: FeHgP2

What did the second record say?
# Fe2Hg2P (GGA-PBE, optimized geometry)
data_Fe2Hg2P
_chemical_formula_sum 'Fe4 Hg4 P2'
_space_group_name_H-M_alt 'P 4/m b m'
_space_group_IT_number 127
_space_group_name_Hall '-P 4 2ab'
_cell_length_a 5.859
_cell_length_b 5.859
_cell_length_c 4.652
_cell_angle_alpha 90.00
_cell_angle_beta 90.00
_cell_angle_gamma 90.00
loop_
_atom_site_label
_atom_site_fract_x
_atom_site_fract_y
_atom_site_fract_z
Fe1 0.154 0.346 0.000
Hg1 0.170 0.670 0.500
P1 0.000 0.000 0.000
# Density in Mg/m³: 11.3
# DFT formation energy in meV/atom: 217
# VASP energy in eV/cell: -43.7
# Size of the total moment in μB per formula unit: 2.96

What did the fifth record say?
# FeHgP2 (GGA-PBE, optimized geometry)
data_FeHgP2
_chemical_formula_sum 'Fe4 Hg4 P8'
_space_group_name_H-M_alt 'I -4 2 d'
_space_group_IT_number 122
_space_group_name_Hall 'I -4 2bw'
_cell_length_a 5.520
_cell_length_b 5.520
_cell_length_c 10.603
_cell_angle_alpha 90.00
_cell_angle_beta 90.00
_cell_angle_gamma 90.00
loop_
_atom_site_label
_atom_site_fract_x
_atom_site_fract_y
_atom_site_fract_z
Fe1 0.000 0.000 0.000
Hg1 0.000 0.000 0.500
P1 0.166 0.250 0.125
# Density in Mg/m³: 6.5
# DFT formation energy in meV/atom: 126
# VASP energy in eV/cell: -76.3
# Size of the total moment in μB per formula unit: 0.00

Q: DFT formation energy of number 8 (Fe2HgPPb)?
A: 1486 meV/atom